[1]
DFT (PBE with a Hubbard U) results for BaNdCo4O12 after structural relaxation.

The structure belongs to space group P4/mmm (No. 123); the cell edges are 5.404, 5.404 and 7.591 Å and the angles 90.00°, 90.00° and 90.00°. The asymmetric unit holds Ba at (0.000, 0.000, 0.000), Nd at (0.500, 0.500, 0.500), Co at (0.000, 0.500, 0.249), O at (0.000, 0.500, 0.000), O at (0.000, 0.500, 0.500) and O at (0.259, 0.259, 0.264).

Its crystal system is tetragonal.

[2]
DFT (PBE with a Hubbard U) results for Rb2MnI2F2 after structural relaxation.

The structure belongs to space group I4/mmm (No. 139); the cell edges are 4.762, 4.762 and 17.959 Å and the angles 90.00°, 90.00° and 90.00°. The asymmetric unit holds Rb at (0.000, 0.000, 0.106), Mn at (0.000, 0.000, 0.500), I at (0.000, 0.000, 0.340) and F at (0.000, 0.500, 0.000).

Its crystal system is tetragonal.

| no. | DOS(E_F) (states/eV/cell) | VASP energy (eV per cell) |
| --- | --- | --- |
| 1 | 9.30 | -104.47 |
| 2 | 0.00 | -58.78 |